Record 1
First-principles (PBE) data for crystalline Al4ZnTc at its relaxed geometry, as listed in Alexandria.

Unit cell a=4.934 b=5.135 c=7.425 alpha=90.00 beta=92.68 gamma=90.00
Space group P2_1/m (No. 11)
Unique sites:
Al1 0.099 0.250 0.420 x2
Al2 0.115 0.250 0.795 x2
Al3 0.384 0.005 0.158 x4
Zn1 0.391 0.750 0.504 x2
Tc1 0.133 0.750 0.892 x2

Computed properties:
For the formation energy, the calculation gives -195 meV/atom. The final energy is -4.63 eV per atom. For the energy above the most stable polymorph in this dataset, the calculation gives 0.0 meV/atom. The density of states at the Fermi level is 4.23 states/eV/cell.



Record 2
First-principles (PBE) data for crystalline K2BaHgF8 at its relaxed geometry, as listed in Alexandria.

Unit cell a=4.445 b=8.262 c=6.162 alpha=90.00 beta=96.23 gamma=90.00
Space group P2/m (No. 10)
Unique sites:
K1 0.000 0.240 0.000 x2
Ba1 0.500 0.500 0.500 x1
Hg1 0.500 0.000 0.500 x1
F1 0.027 0.500 0.744 x2
F2 0.086 0.000 0.294 x2
F3 0.439 0.208 0.715 x4

Computed properties:
For the uncorrected formation energy, the calculation gives -221.0 kJ/mol of atoms. The final energy is -3.91 eV per atom. The density of states at the Fermi level is 3.58 states/eV/cell.



Record 3
First-principles (PBE) data for crystalline Pm2Sm5Al4 at its relaxed geometry, as listed in Alexandria.

Unit cell a=3.411 b=6.997 c=27.780 alpha=90.00 beta=90.00 gamma=90.00
Space group Immm (No. 71)
Unique sites:
Pm1 0.000 0.000 0.096 x4
Sm1 0.000 0.263 0.193 x8
Sm2 0.000 0.500 0.500 x2
Al1 0.000 0.000 0.390 x4
Al2 0.000 0.329 0.000 x4

Computed properties:
For the formation energy, the calculation gives 329 meV/atom. The final energy is -4.04 eV per atom. For the energy above the most stable polymorph in this dataset, the calculation gives 510.4 meV/atom. The density of states at the Fermi level is 25.85 states/eV/cell.



Record 4
First-principles (PBE) data for crystalline ErCdGa2Pd2 at its relaxed geometry, as listed in Alexandria.

Unit cell a=4.4540 b=4.4540 c=6.4787 alpha=90.00 beta=90.00 gamma=120.00
Space group P-3m1 (No. 164)
Unique sites:
Er1 0.0000 0.0000 0.0000 x1
Cd1 0.0000 0.0000 0.5000 x1
Ga1 0.3333 0.6667 0.2641 x2
Pd1 0.3333 0.6667 0.7164 x2

Computed properties:
For the formation energy, the calculation gives -625 meV/atom. The final energy is -4.28 eV per atom. The density of states at the Fermi level is 3.34 states/eV/cell.



Record 5
First-principles (PBE) data for crystalline AlZnS2I at its relaxed geometry, as listed in Alexandria.

Unit cell a=4.495 b=4.495 c=7.120 alpha=90.00 beta=90.00 gamma=90.00
Space group P4/mmm (No. 123)
Unique sites:
Al1 0.000 0.000 0.000 x1
Zn1 0.000 0.000 0.500 x1
S1 0.000 0.500 0.500 x2
I1 0.500 0.500 0.000 x1

Computed properties:
For the uncorrected formation energy, the calculation gives 31.3 kJ/mol of atoms. The final energy is -2.64 eV per atom. The density of states at the Fermi level is 3.26 states/eV/cell.



Record 6
First-principles (PBE) data for crystalline PmCo2NiH8 at its relaxed geometry, as listed in Alexandria.

Unit cell a=4.4173 b=4.4173 c=15.9088 alpha=90.00 beta=90.00 gamma=120.00
Space group R-3 (No. 148, hexagonal axes)
Unique sites:
Pm1 0.0000 0.0000 0.0000 x3
Co1 0.0000 0.0000 0.2001 x6
Ni1 0.0000 0.0000 0.5000 x3
H1 0.0000 0.0000 0.3012 x6
H2 0.0163 0.7153 0.1227 x18

Computed properties:
The final energy is -4.51 eV per atom. The density of states at the Fermi level is 6.68 states/eV/cell.